## RbTeBr6 (PBE-GGA)

Data for RbTeBr6 after structural relaxation.

Values from the calculation:
ΔE_f (raw) (eV/atom): -0.6053
Polymorph energy (0 for the lowest one) (kJ/mol of atoms): 0.0
Volume (Å³ per atom): 42.81
Uncorrected energy (eV/atom): -2.37

abc: 7.304 7.488 7.532
angles: 104.75 108.57 107.79
Fractional positions:
1 Rb 0.000 0.000 0.000
2 Te 0.000 0.500 0.500
3 Br 0.193 0.575 0.263
4 Br 0.196 0.261 0.574
5 Br 0.334 0.822 0.824
6 Br 0.666 0.178 0.176
7 Br 0.804 0.739 0.426
8 Br 0.807 0.425 0.737


## Nd3SmSc6 (PBE-GGA)

Data for Nd3SmSc6 after structural relaxation.

Values from the calculation:
DFT formation energy (eV/atom): 0.22
Volume (Å³ per atom): 29.39
Uncorrected energy (eV/atom): -5.48

abc: 9.431 9.431 6.621
angles: 90.00 90.00 93.45
Fractional positions:
1 Nd 0.095 0.905 0.500
2 Nd 0.253 0.333 0.224
3 Nd 0.333 0.253 0.724
4 Nd 0.667 0.747 0.224
5 Nd 0.747 0.667 0.724
6 Nd 0.905 0.095 0.000
7 Sm 0.307 0.693 0.693
8 Sm 0.693 0.307 0.193
9 Sc 0.001 0.771 0.012
10 Sc 0.020 0.448 0.895
11 Sc 0.229 0.999 0.012
12 Sc 0.291 0.709 0.199
13 Sc 0.448 0.020 0.395
14 Sc 0.493 0.507 0.958
15 Sc 0.507 0.493 0.458
16 Sc 0.552 0.980 0.895
17 Sc 0.709 0.291 0.699
18 Sc 0.771 0.001 0.512
19 Sc 0.980 0.552 0.395
20 Sc 0.999 0.229 0.512


## HgP2W (PBE-GGA)

Data for HgP2W after structural relaxation.

Values from the calculation:
DFT formation energy (eV/atom): 0.08
Volume (Å³ per atom): 18.21
Uncorrected energy (eV/atom): -5.94

abc: 3.118 3.118 7.493
angles: 90.00 90.00 90.00
Fractional positions:
1 Hg 0.000 0.000 0.000
2 P 0.500 0.500 0.326
3 P 0.500 0.500 0.674
4 W 0.000 0.000 0.500


## LaSn2Ru (PBE-GGA)

Data for LaSn2Ru after structural relaxation.

Values from the calculation:
DFT formation energy (eV/atom): 0.00
Volume (Å³ per atom): 28.26
Uncorrected energy (eV/atom): -5.55

abc: 9.885 9.885 9.885
angles: 151.04 151.04 41.42
Fractional positions:
1 La 0.000 0.000 0.000
2 La 0.750 0.250 0.500
3 Sn 0.241 0.625 0.116
4 Sn 0.375 0.491 0.616
5 Sn 0.509 0.125 0.884
6 Sn 0.875 0.759 0.384
7 Ru 0.250 0.750 0.500
8 Ru 0.500 0.500 0.000


## ZrSeN2F (PBE-GGA)

Data for ZrSeN2F after structural relaxation.

Values from the calculation:
ΔE_f (raw) (eV/atom): 0.4752
Polymorph energy (0 for the lowest one) (kJ/mol of atoms): 63.4
Volume (Å³ per atom): 19.16
Uncorrected energy (eV/atom): -5.64

abc: 4.176 4.176 5.492
angles: 90.00 90.00 90.00
Fractional positions:
1 Zr 0.000 0.000 0.000
2 Se 0.000 0.000 0.500
3 N 0.000 0.500 0.000
4 N 0.500 0.000 0.000
5 F 0.500 0.500 0.500


## CrAgOs2 (PBE-GGA)

Data for CrAgOs2 after structural relaxation.

Values from the calculation:
DFT formation energy (eV/atom): 0.63
Polymorph energy (0 for the lowest one) (kJ/mol of atoms): 34.7
Volume (Å³ per atom): 14.56
Uncorrected energy (eV/atom): -8.10

abc: 3.867 3.867 3.895
angles: 90.00 90.00 90.00
Fractional positions:
1 Cr 0.000 0.000 0.000
2 Ag 0.500 0.500 0.000
3 Os 0.000 0.500 0.500
4 Os 0.500 0.000 0.500


## CaCo2As (PBE-GGA)

Data for CaCo2As after structural relaxation.

Values from the calculation:
DFT formation energy (eV/atom): 0.19
Volume (Å³ per atom): 16.12
Uncorrected energy (eV/atom): -5.02

abc: 4.501 4.501 4.501
angles: 60.00 60.00 60.00
Fractional positions:
1 Ca 0.000 0.000 0.000
2 Co 0.500 0.500 0.500
3 Co 0.750 0.750 0.750
4 As 0.250 0.250 0.250


## PrMnSi2Mo (PBE-GGA)

Data for PrMnSi2Mo after structural relaxation.

Values from the calculation:
ΔE_f (raw) (eV/atom): -0.4768
Volume (Å³ per atom): 17.99
Uncorrected energy (eV/atom): -7.60

abc: 6.223 6.223 6.223
angles: 142.19 142.19 54.55
Fractional positions:
1 Pr 0.000 0.000 0.000
2 Mn 0.750 0.250 0.500
3 Si 0.384 0.384 0.000
4 Si 0.616 0.616 0.000
5 Mo 0.250 0.750 0.500


## Rb2Ga2As2S (PBE-GGA)

Data for Rb2Ga2As2S after structural relaxation.

Values from the calculation:
ΔE_f (raw) (eV/atom): -0.6132
Volume (Å³ per atom): 29.31
Uncorrected energy (eV/atom): -3.67

abc: 7.188 7.188 8.476
angles: 120.20 120.20 33.41
Fractional positions:
1 Rb 0.065 0.065 0.336
2 Rb 0.935 0.935 0.664
3 Ga 0.311 0.311 0.938
4 Ga 0.689 0.689 0.062
5 As 0.303 0.303 0.235
6 As 0.697 0.697 0.765
7 S 0.500 0.500 0.000


## Ca2ZnCl (PBE-GGA)

Data for Ca2ZnCl after structural relaxation.

Values from the calculation:
ΔE_f (raw) (eV/atom): -0.7826
Polymorph energy (0 for the lowest one) (kJ/mol of atoms): 12.4
Volume (Å³ per atom): 27.84
Uncorrected energy (eV/atom): -2.56

abc: 4.725 6.654 6.654
angles: 32.17 90.00 90.00
Fractional positions:
1 Ca 0.000 0.000 0.000
2 Ca 0.500 0.264 0.264
3 Zn 0.500 0.547 0.547
4 Cl 0.000 0.785 0.785


## Al2OsW (PBE-GGA)

Data for Al2OsW after structural relaxation.

Values from the calculation:
DFT formation energy (eV/atom): 0.02
Polymorph energy (0 for the lowest one) (kJ/mol of atoms): 27.3
Volume (Å³ per atom): 14.90
Uncorrected energy (eV/atom): -7.90

abc: 4.832 4.832 4.832
angles: 132.81 132.81 68.95
Fractional positions:
1 Al 0.250 0.750 0.500
2 Al 0.750 0.250 0.500
3 Os 0.000 0.000 0.000
4 W 0.500 0.500 0.000


## La2Pm4Sm2Dy (PBE-GGA)

Data for La2Pm4Sm2Dy after structural relaxation.

Values from the calculation:
DFT formation energy (eV/atom): 0.01
Volume (Å³ per atom): 34.64
Uncorrected energy (eV/atom): -4.76

abc: 9.740 9.740 9.794
angles: 115.14 115.14 21.85
Fractional positions:
1 La 0.165 0.165 0.499
2 La 0.835 0.835 0.501
3 Pm 0.019 0.019 0.832
4 Pm 0.314 0.314 0.166
5 Pm 0.686 0.686 0.834
6 Pm 0.981 0.981 0.168
7 Sm 0.353 0.353 0.834
8 Sm 0.647 0.647 0.166
9 Dy 0.500 0.500 0.500